(1)
# Tb5MgAg6

A geometry-optimized Tb5MgAg6 structure (PBE, the Alexandria database).

Cell lengths 5.0766, 8.8379, 8.8379 Å; angles 119.79, 106.69, 106.69 degrees
Closest atoms and distances in Å follow each position.
Atoms (fractional coordinates):
Ag1 0.2544 0.7541 0.7541  6 Tb 3.10-3.16, 2 Mg 3.10-3.11
Ag2 0.2456 0.4087 0.0824  1 Mg 3.07, 7 Tb 3.10-3.20
Ag3 0.7544 0.9176 0.5913  1 Mg 3.07, 7 Tb 3.10-3.20
Ag4 0.7544 0.5913 0.9176  1 Mg 3.07, 7 Tb 3.10-3.20
Ag5 0.7456 0.2459 0.2459  6 Tb 3.10-3.16, 2 Mg 3.10-3.11
Ag6 0.2456 0.0824 0.4087  1 Mg 3.07, 7 Tb 3.10-3.20
Tb1 0.0000 0.3323 0.6677  8 Ag 3.14-3.16
Tb2 0.5000 0.8342 0.1658  8 Ag 3.10-3.20
Tb3 0.0000 0.6677 0.3323  8 Ag 3.14-3.16
Tb4 0.5000 0.5000 0.5000  8 Ag 3.11-3.14
Tb5 0.5000 0.1658 0.8342  8 Ag 3.10-3.20
Mg1 0.0000 0.0000 0.0000  8 Ag 3.07-3.11

Properties
Uncorrected energy ... -3.777 eV per atom
Energy relative to the elements ... -289 meV/atom
Space-group type ... No. 71

(2)
# La3Nd2Er

A geometry-optimized La3Nd2Er structure (PBE, the Alexandria database).

Cell lengths 6.4029, 6.4029, 11.9853 Å; angles 90.00, 90.00, 120.00 degrees
Closest atoms and distances in Å follow each position.
Atoms (fractional coordinates):
La1 0.6698 0.0000 0.2500  6 La 3.66-3.71, 2 Er 3.67, 4 Nd 3.68
La2 0.3302 0.0000 0.7500  6 La 3.66-3.71, 2 Er 3.67, 4 Nd 3.68
La3 0.0000 0.6698 0.2500  6 La 3.66-3.71, 2 Er 3.67, 4 Nd 3.68
La4 0.6698 0.6698 0.7500  6 La 3.66-3.71, 2 Er 3.67, 4 Nd 3.68
La5 0.3302 0.3302 0.2500  6 La 3.66-3.71, 2 Er 3.67, 4 Nd 3.68
La6 0.0000 0.3302 0.7500  6 La 3.66-3.71, 2 Er 3.67, 4 Nd 3.68
Er1 0.0000 0.0000 0.5000  6 La 3.67, 6 Nd 3.70
Er2 0.0000 0.0000 0.0000  6 La 3.67, 6 Nd 3.70
Nd1 0.3333 0.6667 0.5000  6 La 3.68, 3 Er 3.70, 3 Nd 3.70
Nd2 0.3333 0.6667 0.0000  6 La 3.68, 3 Er 3.70, 3 Nd 3.70
Nd3 0.6667 0.3333 0.0000  6 La 3.68, 3 Er 3.70, 3 Nd 3.70
Nd4 0.6667 0.3333 0.5000  6 La 3.68, 3 Er 3.70, 3 Nd 3.70

Properties
Uncorrected energy ... -4.790 eV per atom
E above lowest polymorph ... 0 meV/atom
Energy relative to the elements ... 24 meV/atom
Space-group type ... No. 193

(3)
# Ce5Ge2H2

A geometry-optimized Ce5Ge2H2 structure (PBE, the Alexandria database).

Cell lengths 6.2697, 6.2146, 11.1622 Å; angles 106.16, 106.31, 90.00 degrees
Closest atoms and distances in Å follow each position.
Atoms (fractional coordinates):
H1 0.1593 0.3618 0.5000  4 Ce 2.30-2.34
H2 0.0000 0.9561 0.0000  4 Ce 2.21
H3 0.8407 0.8618 0.5000  4 Ce 2.30-2.34
H4 0.5000 0.4561 0.0000  4 Ce 2.21
Ce1 0.1853 0.7334 0.5000  2 H 2.30-2.32
Ce2 0.1599 0.1155 0.2983  1 H 2.34
Ce3 0.3616 0.3172 0.7017  1 H 2.34
Ce4 0.8401 0.8172 0.7017  1 H 2.34
Ce5 0.2418 0.2075 0.9926  2 H 2.21
Ce6 0.8147 0.2334 0.5000  2 H 2.30-2.32
Ce7 0.2508 0.7075 0.9926  2 H 2.21
Ce8 0.6384 0.6155 0.2983  1 H 2.34
Ce9 0.7492 0.7150 0.0074  2 H 2.21
Ce10 0.7582 0.2150 0.0074  2 H 2.21
Ge1 0.8808 0.3581 0.7865  8 Ce 2.98-3.24
Ge2 0.4057 0.8581 0.7865  8 Ce 2.98-3.24
Ge3 0.1192 0.5716 0.2135  8 Ce 2.98-3.24
Ge4 0.5943 0.0716 0.2135  8 Ce 2.98-3.24

Properties
Uncorrected energy ... -5.519 eV per atom
Space-group type ... No. 46

(4)
# Na3Pu3UTe8

A geometry-optimized Na3Pu3UTe8 structure (PBE, the Alexandria database).

Cell lengths 8.9536, 8.9534, 9.1097 Å; angles 119.45, 90.00, 120.00 degrees
Closest atoms and distances in Å follow each position.
Atoms (fractional coordinates):
Pu1 0.5000 0.0000 0.5000  6 Te 3.12
Pu2 0.5000 0.5000 0.5000  6 Te 3.12
Pu3 0.0000 0.5000 0.5000  6 Te 3.12
Te1 0.2402 0.4804 0.7295  1 U 3.07, 2 Pu 3.12, 2 Na 3.27
Te2 0.2508 0.0106 0.2705  1 U 3.07, 2 Pu 3.12, 2 Na 3.27
Te3 0.7598 0.5196 0.2705  1 U 3.07, 2 Pu 3.12, 2 Na 3.27
Te4 0.2402 0.9894 0.7295  1 U 3.07, 2 Pu 3.12, 2 Na 3.27
Te5 0.2553 0.5106 0.2661  3 Pu 3.12, 3 Na 3.26-3.27
Te6 0.7598 0.0106 0.2705  1 U 3.07, 2 Pu 3.12, 2 Na 3.27
Te7 0.7492 0.9894 0.7295  1 U 3.07, 2 Pu 3.12, 2 Na 3.27
Te8 0.7447 0.4894 0.7339  3 Pu 3.12, 3 Na 3.26-3.27
Na1 0.0000 0.0000 0.0000  6 Te 3.26-3.27
Na2 0.0000 0.5000 0.0000  6 Te 3.27
Na3 0.5000 0.5000 0.0000  6 Te 3.27
U1 0.0000 0.0000 0.5000  6 Te 3.07

Properties
Uncorrected energy ... -6.509 eV per atom
Formation energy from raw total energies ... -0.95 eV per atom
Space-group type ... No. 166

(5)
# TmZn2Sn

A geometry-optimized TmZn2Sn structure (PBE, the Alexandria database).

Cell lengths 4.4349, 4.4349, 5.6454 Å; angles 66.87, 66.87, 60.00 degrees
Closest atoms and distances in Å follow each position.
Atoms (fractional coordinates):
Zn1 0.2365 0.2365 0.2904  3 Sn 2.77, 3 Tm 2.95
Zn2 0.7635 0.7635 0.7096  3 Sn 2.77, 3 Tm 2.95
Tm1 0.0000 0.0000 0.0000  6 Zn 2.95
Sn1 0.5000 0.5000 0.5000  6 Zn 2.77

Properties
Uncorrected energy ... -2.968 eV per atom
Energy relative to the elements ... -212 meV/atom
Space-group type ... No. 166

(6)
# KTeBr

A geometry-optimized KTeBr structure (PBE, the Alexandria database).

Cell lengths 6.7890, 6.7890, 6.7890 Å; angles 149.20, 135.09, 55.45 degrees
Closest atoms and distances in Å follow each position.
Atoms (fractional coordinates):
Br1 0.9435 0.9435 0.0000  1 Te 2.88
K1 0.3530 0.3530 0.0000  4 Br 3.34, 2 K 3.61, 4 Te 3.63
Te1 0.7035 0.7035 0.0000  1 Br 2.88

Properties
Uncorrected energy ... -2.552 eV per atom
E above lowest polymorph ... 356 meV/atom
Formation energy from raw total energies ... -0.58 eV per atom
Space-group type ... No. 44

(7)
# HoErThPa

A geometry-optimized HoErThPa structure (PBE, the Alexandria database).

Cell lengths 5.5304, 5.5304, 5.5304 Å; angles 60.00, 60.00, 60.00 degrees
Closest atoms and distances in Å follow each position.
Atoms (fractional coordinates):
Pa1 0.2500 0.2500 0.2500  4 Th 3.39, 4 Er 3.39
Th1 0.0000 0.0000 0.0000  4 Pa 3.39, 4 Ho 3.39
Ho1 0.7500 0.7500 0.7500  4 Er 3.39, 4 Th 3.39
Er1 0.5000 0.5000 0.5000  4 Pa 3.39, 4 Ho 3.39

Properties
Uncorrected energy ... -6.161 eV per atom
Energy relative to the elements ... 353 meV/atom
Space-group type ... No. 216

(8)
# Ac5Ge2Pt2

A geometry-optimized Ac5Ge2Pt2 structure (PBE, the Alexandria database).

Cell lengths 8.2451, 8.2652, 9.1575 Å; angles 90.00, 63.24, 90.00 degrees
Closest atoms and distances in Å follow each position.
Atoms (fractional coordinates):
Ac1 0.8196 0.8389 0.7102  3 Pt 3.11-3.26, 3 Ge 3.34-3.46
Ac2 0.6804 0.3389 0.2898  3 Pt 3.11-3.26, 3 Ge 3.34-3.46
Ac3 0.5298 0.8389 0.2898  3 Pt 3.11-3.26, 3 Ge 3.34-3.46
Ac4 0.5000 0.5000 0.0000  2 Pt 3.20, 4 Ge 3.31
Ac5 0.9702 0.3389 0.7102  3 Pt 3.11-3.26, 3 Ge 3.34-3.46
Ac6 0.0000 0.0000 0.0000  2 Pt 3.20, 4 Ge 3.31
Ac7 0.1804 0.1611 0.2898  3 Pt 3.11-3.26, 3 Ge 3.34-3.46
Ac8 0.4702 0.1611 0.7102  3 Pt 3.11-3.26, 3 Ge 3.34-3.46
Ac9 0.0298 0.6611 0.2898  3 Pt 3.11-3.26, 3 Ge 3.34-3.46
Ac10 0.3196 0.6611 0.7102  3 Pt 3.11-3.26, 3 Ge 3.34-3.46
Pt1 0.3041 0.5000 0.3918  7 Ac 3.11-3.26
Pt2 0.1959 0.0000 0.6082  7 Ac 3.11-3.26
Pt3 0.8041 0.0000 0.3918  7 Ac 3.11-3.26
Pt4 0.6959 0.5000 0.6082  7 Ac 3.11-3.26
Ge1 0.1166 0.3831 0.0000  1 Ge 2.73
Ge2 0.8834 0.6169 0.0000  1 Ge 2.73
Ge3 0.3834 0.8831 0.0000  1 Ge 2.73
Ge4 0.6166 0.1169 0.0000  1 Ge 2.73

Properties
Uncorrected energy ... -5.480 eV per atom
Energy relative to the elements ... -829 meV/atom
Space-group type ... No. 64

(9)
# K3TiNb

A geometry-optimized K3TiNb structure (PBE, the Alexandria database).

Cell lengths 6.6388, 6.6388, 6.6388 Å; angles 90.00, 90.00, 90.00 degrees
Closest atoms and distances in Å follow each position.
Atoms (fractional coordinates):
K1 0.0000 0.5000 0.0000  2 Nb 3.32
K2 0.5000 0.0000 0.0000  2 Nb 3.32
K3 0.0000 0.0000 0.5000  2 Nb 3.32
Nb1 0.0000 0.0000 0.0000  6 K 3.32
Ti1 0.5000 0.5000 0.5000  12 K 4.69

Properties
Uncorrected energy ... -2.393 eV per atom
E above lowest polymorph ... 0 meV/atom
Energy relative to the elements ... 1859 meV/atom
Space-group type ... No. 221

(10)
# Ac2GaPd6Au

A geometry-optimized Ac2GaPd6Au structure (PBE, the Alexandria database).

Cell lengths 6.5176, 6.5176, 12.4915 Å; angles 74.88, 74.88, 60.00 degrees
Closest atoms and distances in Å follow each position.
Atoms (fractional coordinates):
Ga1 0.5715 0.5715 0.2855  6 Pd 2.44-2.45, 1 Au 2.56
Ga2 0.4285 0.4285 0.7145  6 Pd 2.44-2.45, 1 Au 2.56
Pd1 0.3251 0.7698 0.1353  1 Ga 2.45, 1 Au 2.64
Pd2 0.3462 0.3462 0.3657  1 Ga 2.44, 2 Pd 2.64
Pd3 0.0581 0.6538 0.6343  1 Ga 2.44, 2 Pd 2.64
Pd4 0.3462 0.9419 0.3657  1 Ga 2.44, 2 Pd 2.64
Pd5 0.2302 0.2302 0.8647  1 Ga 2.45, 1 Au 2.64
Pd6 0.9419 0.3462 0.3657  1 Ga 2.44, 2 Pd 2.64
Pd7 0.6538 0.6538 0.6343  1 Ga 2.44, 2 Pd 2.64
Pd8 0.2302 0.6749 0.8647  1 Ga 2.45, 1 Au 2.64
Pd9 0.6749 0.2302 0.8647  1 Ga 2.45, 1 Au 2.64
Pd10 0.7698 0.7698 0.1353  1 Ga 2.45, 1 Au 2.64
Pd11 0.7698 0.3251 0.1353  1 Ga 2.45, 1 Au 2.64
Pd12 0.6538 0.0581 0.6343  1 Ga 2.44, 2 Pd 2.64
Ac1 0.8737 0.8737 0.3788  12 Pd 3.28-3.57
Ac2 0.7041 0.7041 0.8878  12 Pd 3.28-3.39
Ac3 0.1263 0.1263 0.6212  12 Pd 3.28-3.57
Ac4 0.2959 0.2959 0.1122  12 Pd 3.28-3.39
Au1 0.0000 0.0000 0.0000  6 Pd 2.64
Au2 0.5000 0.5000 0.5000  2 Ga 2.56, 6 Pd 2.75

Properties
Uncorrected energy ... -5.168 eV per atom
Energy relative to the elements ... -600 meV/atom
Space-group type ... No. 166

(11)
# LiEuBi2

A geometry-optimized LiEuBi2 structure (PBE, the Alexandria database).

Cell lengths 3.5664, 3.5664, 9.0061 Å; angles 90.00, 90.00, 90.00 degrees
Closest atoms and distances in Å follow each position.
Atoms (fractional coordinates):
Bi1 0.0000 0.0000 0.2290  4 Li 3.26, 4 Eu 3.51, 4 Bi 3.57
Bi2 0.0000 0.0000 0.7710  4 Li 3.26, 4 Eu 3.51, 4 Bi 3.57
Li1 0.5000 0.5000 0.0000  8 Bi 3.26, 4 Li 3.57
Eu1 0.5000 0.5000 0.5000  8 Bi 3.51, 4 Eu 3.57

Properties
Uncorrected energy ... -5.525 eV per atom
E above lowest polymorph ... 53 meV/atom
Energy relative to the elements ... -537 meV/atom
Space-group type ... No. 123

(12)
# TeAuN2

A geometry-optimized TeAuN2 structure (PBE, the Alexandria database).

Cell lengths 6.5514, 6.5514, 6.5514 Å; angles 30.31, 30.31, 30.31 degrees
Closest atoms and distances in Å follow each position.
Atoms (fractional coordinates):
N1 0.1083 0.1083 0.1083  1 Au 2.03, 3 Te 2.26
N2 0.8917 0.8917 0.8917  1 Au 2.03, 3 Te 2.26
Te1 0.5000 0.5000 0.5000  6 N 2.26
Au1 0.0000 0.0000 0.0000  2 N 2.03

Properties
Uncorrected energy ... -4.838 eV per atom
Formation energy from raw total energies ... 0.93 eV per atom
Space-group type ... No. 166